(1)
The following is a DFT calculation (PBE) of a relaxed KCa2InSe4 crystal.

abc: 8.5218 8.5218 8.5243
angles: 120.01 120.01 88.96
Fractional positions:
Se (0.2579, 0.2421, 0.9945)
Se (0.7421, 0.7579, 0.0055)
Se (0.7076, 0.2571, 0.4823)
Se (0.2924, 0.7429, 0.5177)
Se (0.7571, 0.2076, 0.9823)
Se (0.2429, 0.7924, 0.0177)
Se (0.2579, 0.2421, 0.5055)
Se (0.7421, 0.7579, 0.4945)
In (0.5000, 0.5000, 0.5000)
In (0.0000, 0.0000, 0.0000)
Ca (0.5000, 0.5000, 0.0000)
Ca (0.5000, 0.0000, 0.5000)
Ca (0.0000, 0.0000, 0.5000)
Ca (0.5000, 0.0000, 0.0000)
K (0.0000, 0.5000, 0.0000)
K (0.0000, 0.5000, 0.5000)

Output
ρ, g cm⁻³: 4.1
E_tot, eV per atom: -4.027
Space group: Imma (74)

---

(2)
The following is a DFT calculation (PBE) of a relaxed KCaInSe3 crystal.

abc: 4.2698 7.9286 11.7221
angles: 90.00 90.00 105.62
Fractional positions:
Se (0.6263, 0.2527, 0.4326)
Se (0.0737, 0.1473, 0.7500)
Se (0.3737, 0.7473, 0.5674)
Se (0.3737, 0.7473, 0.9326)
Se (0.6263, 0.2527, 0.0674)
Se (0.9263, 0.8527, 0.2500)
Ca (0.0000, 0.0000, 0.5000)
Ca (0.0000, 0.0000, 0.0000)
In (0.5346, 0.0692, 0.2500)
In (0.4654, 0.9308, 0.7500)
K (0.2465, 0.4930, 0.2500)
K (0.7535, 0.5070, 0.7500)

Output
ρ, g cm⁻³: 3.7
E_tot, eV per atom: -3.960
Space group: Cmcm (63)

---

(3)
The following is a DFT calculation (PBE) of a relaxed KCaInSi2 crystal.

abc: 6.8494 7.6006 6.8494
angles: 90.00 90.00 90.00
Site moments in Bohr magnetons follow the coordinates.
Fractional positions:
Ca (0.0000, 0.0000, 0.0000)  0.04
In (0.5000, 0.5000, 0.5000)  -0.03
Si (0.0000, 0.0000, 0.5000)  0.19
Si (0.5000, 0.0000, 0.0000)  0.20
K (0.0000, 0.5000, 0.0000)  0.00

Output
ρ, g cm⁻³: 1.2
E_tot, eV per atom: -1.913
Space group: P4/mmm (123)

---

| no. | M_tot (μB/f.u.) | raw formation energy (eV/f.u.) |
| --- | --- | --- |
| 1 | 0.0 | -10.441 |
| 2 | 0.0 | -7.468 |
| 3 | 1.4 | 7.117 |